YThMn17 | Alexandria via LeMat-Bulk | PBE | optimized geometry; crystal system = trigonal; V = 254.77 Å³/cell; ΔH_f (0 K) = 4 meV/atom; D(E_F) = 19.12 states/eV per cell
1.0
6.3245 -0.1462 0.5826
0.5179 6.3050 0.5826
-0.1625 -0.1462 6.3492
Y Th Mn
1 1 17
direct
0.6476 0.6476 0.6476 Y
0.3543 0.3543 0.3543 Th
0.2726 0.9990 0.7269 Mn
0.7269 0.2726 0.9990 Mn
0.9990 0.7269 0.2726 Mn
0.2726 0.7269 0.9990 Mn
0.9990 0.2726 0.7269 Mn
0.7269 0.9990 0.2726 Mn
0.3552 0.8758 0.3552 Mn
0.3552 0.3552 0.8758 Mn
0.8758 0.3552 0.3552 Mn
0.6464 0.1263 0.6464 Mn
0.6464 0.6464 0.1263 Mn
0.1263 0.6464 0.6464 Mn
0.9974 0.5004 0.9974 Mn
0.9974 0.9974 0.5004 Mn
0.5004 0.9974 0.9974 Mn
0.9013 0.9013 0.9013 Mn
0.0995 0.0995 0.0995 Mn